No. 1
# Ni3AgN

Ni3AgN after structural relaxation (PBE-GGA, Alexandria via LeMat-Bulk).

The space group is Pm-3m (No. 221) and the conventional cell measures 3.8238, 3.8238 and 3.8238 Å, with angles of 90.00, 90.00 and 90.00 degrees. The inequivalent atoms are Ni at (0.0000, 0.0000, 0.5000), Ag at (0.5000, 0.5000, 0.5000) and N at (0.0000, 0.0000, 0.0000).

As for the total moment: 0.000 μB per cell.



No. 2
# Ni3AgN

Ni3AgN after structural relaxation (PBE-GGA, Alexandria via LeMat-Bulk).

The space group is Cmcm (No. 63) and the conventional cell measures 4.9358, 13.0058 and 4.6336 Å, with angles of 90.00, 90.00 and 90.00 degrees. The inequivalent atoms are Ni at (0.0000, 0.0000, 0.0000), Ni at (0.2473, 0.1411, 0.2500), Ag at (0.0000, 0.1837, 0.7500) and N at (0.0000, 0.4461, 0.7500).

As for the total moment: 3.769 μB per cell.



No. 3
# NiAgN3

NiAgN3 after structural relaxation (PBE-GGA, Alexandria via LeMat-Bulk).

The space group is Pm-3m (No. 221) and the conventional cell measures 3.7386, 3.7386 and 3.7386 Å, with angles of 90.00, 90.00 and 90.00 degrees. The inequivalent atoms are Ni at (0.0000, 0.0000, 0.0000), Ag at (0.5000, 0.5000, 0.5000) and N at (0.0000, 0.0000, 0.5000).

As for the total moment: 0.000 μB per cell.



No. 4
# Ni2AgN2

Ni2AgN2 after structural relaxation (PBE-GGA, Alexandria via LeMat-Bulk).

The space group is P4/mbm (No. 127) and the conventional cell measures 6.2351, 6.2351 and 2.6939 Å, with angles of 90.00, 90.00 and 90.00 degrees. The inequivalent atoms are Ni at (0.1309, 0.3691, 0.0000), Ag at (0.0000, 0.0000, 0.5000) and N at (0.1272, 0.6272, 0.5000).

As for the total moment: 0.000 μB per cell.



No. 5
# Ni3AgN

Ni3AgN after structural relaxation (PBE-GGA, Alexandria via LeMat-Bulk).

The space group is Pm-3m (No. 221) and the conventional cell measures 4.6033, 4.6033 and 4.6033 Å, with angles of 90.00, 90.00 and 90.00 degrees. The inequivalent atoms are Ni at (0.0000, 0.0000, 0.5000), Ag at (0.0000, 0.0000, 0.0000) and N at (0.5000, 0.5000, 0.5000).

As for the total moment: 2.444 μB per cell.



No. 6
# NiAg3N

NiAg3N after structural relaxation (PBE-GGA, Alexandria via LeMat-Bulk).

The space group is Pm-3m (No. 221) and the conventional cell measures 4.2654, 4.2654 and 4.2654 Å, with angles of 90.00, 90.00 and 90.00 degrees. The inequivalent atoms are Ni at (0.0000, 0.0000, 0.0000), Ag at (0.0000, 0.5000, 0.5000) and N at (0.5000, 0.5000, 0.5000).

As for the total moment: 0.000 μB per cell.



No. 7
# Ni3AgN

Ni3AgN after structural relaxation (PBE-GGA, Alexandria via LeMat-Bulk).

The space group is Imma (No. 74) and the conventional cell measures 4.9374, 6.5954 and 7.2752 Å, with angles of 90.00, 90.00 and 90.00 degrees. The inequivalent atoms are Ni at (0.0000, 0.0700, 0.1484), Ni at (0.2500, 0.2500, 0.7500), Ag at (0.0000, 0.0000, 0.5000) and N at (0.0000, 0.2500, 0.9470).

As for the total moment: 0.000 μB per cell.



No. 8
# Ni2AgN2

Ni2AgN2 after structural relaxation (PBE-GGA, Alexandria via LeMat-Bulk).

The space group is I4/mmm (No. 139) and the conventional cell measures 3.6472, 3.6472 and 9.0040 Å, with angles of 90.00, 90.00 and 90.00 degrees. The inequivalent atoms are Ni at (0.0000, 0.5000, 0.2500), Ag at (0.0000, 0.0000, 0.0000) and N at (0.0000, 0.0000, 0.3186).

As for the total moment: 0.000 μB per cell.



No. 9
# Ni3AgN

Ni3AgN after structural relaxation (PBE-GGA, Alexandria via LeMat-Bulk).

The space group is Cmcm (No. 63) and the conventional cell measures 4.8764, 11.8969 and 4.6532 Å, with angles of 90.00, 90.00 and 90.00 degrees. The inequivalent atoms are Ni at (0.0000, 0.0000, 0.0000), Ni at (0.2430, 0.2860, 0.2500), Ag at (0.0000, 0.4154, 0.7500) and N at (0.0000, 0.1126, 0.7500).

As for the total moment: 0.000 μB per cell.



No. 10
# Ni3AgN

Ni3AgN after structural relaxation (PBE-GGA, Alexandria via LeMat-Bulk).

The space group is P2_1/m (No. 11) and the conventional cell measures 3.7485, 5.2885 and 6.3231 Å, with angles of 90.00, 94.12 and 90.00 degrees. The inequivalent atoms are Ni at (0.2173, 0.2500, 0.2319), Ni at (0.2636, 0.0066, 0.6103), Ag at (0.2048, 0.7500, 0.1543) and N at (0.2882, 0.7500, 0.7966).

As for the total moment: 0.000 μB per cell.



No. 11
# Ni3AgN

Ni3AgN after structural relaxation (PBE-GGA, Alexandria via LeMat-Bulk).

The space group is C2/c (No. 15) and the conventional cell measures 11.2684, 9.5121 and 5.0478 Å, with angles of 90.00, 116.54 and 90.00 degrees. The inequivalent atoms are Ni at (0.1031, 0.0374, 0.4779), Ni at (0.1728, 0.4569, 0.0193), Ni at (0.2476, 0.2117, 0.2611), Ag at (0.0000, 0.2175, 0.7500), Ag at (0.0000, 0.3229, 0.2500) and N at (0.2327, 0.3899, 0.3947).

As for the total moment: 0.000 μB per cell.



No. 12
# Ni3AgN

Ni3AgN after structural relaxation (PBE-GGA, Alexandria via LeMat-Bulk).

The space group is Fd-3m (No. 227, origin choice 2) and the conventional cell measures 10.0602, 10.0602 and 10.0602 Å, with angles of 90.00, 90.00 and 90.00 degrees. The inequivalent atoms are Ni at (0.0579, 0.3750, 0.3750), Ag at (0.0000, 0.0000, 0.5000) and N at (0.0000, 0.0000, 0.0000).

As for the total moment: 0.000 μB per cell.



no.,formation energy from raw total energies (eV per atom),total DFT energy (no corrections) (eV per cell),N(E_F) (states/eV/cell)
1,0.03,-28.4,7.82
2,0.77,-98.7,14.83
3,1.89,-24.2,7.05
4,1.02,-52.0,8.62
5,2.57,-15.7,12.00
6,0.85,-18.4,1.53
7,0.30,-108.1,16.81
8,0.66,-55.6,4.54
9,0.36,-107.0,10.66
10,0.26,-54.4,8.06
11,0.20,-220.2,13.93
12,0.13,-445.9,5.95